Entry 1:
This record from the Alexandria database describes a geometry-optimized ZrPtCl2 structure. The functional is PBE.

Results
Fermi-level density of states in states/eV/f.u.: 2.697
Uncorrected energy in eV/f.u.: -20.2
Raw formation energy in eV/atom: -0.49
Relative energy among the computed polymorphs in eV per atom: 0.677

Unit cell a=4.667 b=3.653 c=4.936 alpha=90.00 beta=90.47 gamma=90.00
Element x y z (fractional)
Zr (0.000, 0.000, 0.000)
Pt (0.500, 0.500, 0.000)
Cl (0.000, 0.000, 0.500)
Cl (0.500, 0.500, 0.500)

***

Entry 2:
This record from the Alexandria database describes a geometry-optimized TiCr2IrN structure. The functional is PBE.

Results
Fermi-level density of states in states/eV/f.u.: 3.580
Uncorrected energy in eV/f.u.: -45.6
Raw formation energy in eV/atom: -0.25
Relative energy among the computed polymorphs in eV per atom: 0.345

Unit cell a=3.853 b=3.853 c=4.103 alpha=90.00 beta=90.00 gamma=90.00
Element x y z (fractional)
Ti (0.000, 0.000, 0.000)
Cr (0.000, 0.500, 0.500)
Cr (0.500, 0.000, 0.500)
Ir (0.500, 0.500, 0.000)
N (0.500, 0.500, 0.500)

***

Which of these has the highest relative energy among the computed polymorphs? ZrPtCl2